# 1
The following is a PBE calculation of an optimized crystal structure of In2GePd2, from the Alexandria database. Values from VASP.

Cell and atoms, written as Quantum ESPRESSO input:
```
&SYSTEM
  ibrav = 0, nat = 5, ntyp = 3
/
ATOMIC_SPECIES
Ge 72.64 Ge.upf
Pd 106.42 Pd.upf
In 114.82 In.upf
CELL_PARAMETERS angstrom
4.0464 0.0000 0.0000
0.0000 4.0464 0.0000
2.0232 2.0232 6.3961
ATOMIC_POSITIONS angstrom
Ge 0.0000 0.0000 0.0000
Pd 2.0232 2.0232 1.3297
Pd 4.0464 4.0464 5.0664
In 4.0464 2.0232 3.1981
In 2.0232 4.0464 3.1981
```

Properties
D(E_F)   1.8 states/eV/cell
SG   I4/mmm (139)
E_form   -9 meV per atom
E above lowest polymorph   264 meV/atom

---

# 2
The following is a PBE calculation of an optimized crystal structure of KHg2W, from the Alexandria database. Values from VASP.

Cell and atoms, written as Quantum ESPRESSO input:
```
&SYSTEM
  ibrav = 0, nat = 4, ntyp = 3
/
ATOMIC_SPECIES
Hg 200.59 Hg.upf
K 39.10 K.upf
W 183.84 W.upf
CELL_PARAMETERS angstrom
-3.8356 1.9178 2.4505
-4.6091 1.7507 -0.2936
-3.2155 -6.6456 1.3112
ATOMIC_POSITIONS angstrom
Hg -8.5680 3.2292 2.2184
Hg -5.7067 -1.0493 1.6725
K -8.7451 -2.2328 2.6011
W -2.9150 -0.7443 0.8670
```

Properties
D(E_F)   3.0 states/eV/cell
SG   C2/m (12)
E_form   803 meV per atom
E above lowest polymorph   115 meV/atom

---

# 3
The following is a PBE calculation of an optimized crystal structure of Ti2BeH6, from the Alexandria database. Values from VASP.

Cell and atoms, written as Quantum ESPRESSO input:
```
&SYSTEM
  ibrav = 0, nat = 18, ntyp = 3
/
ATOMIC_SPECIES
Ti 47.87 Ti.upf
Be 9.01 Be.upf
H 1.01 H.upf
CELL_PARAMETERS angstrom
4.2791 0.0000 0.1969
0.0000 5.0849 0.0000
-0.2690 0.0000 5.5679
ATOMIC_POSITIONS angstrom
Ti -0.1895 1.9549 4.1821
Ti 1.9255 4.4974 4.2682
Ti 2.0846 0.5875 1.4966
Ti 4.1996 3.1300 1.5827
Be 2.1396 2.5425 0.0984
Be -0.1345 0.0000 2.7839
H 3.8274 4.9679 1.4746
H 3.4274 3.4583 3.2923
H 3.1983 3.3355 5.3946
H 2.8168 0.7930 3.2525
H 2.5877 0.9158 5.3548
H 2.4568 2.4254 1.6046
H 0.1827 0.1170 4.2901
H 0.5827 1.6266 2.4724
H 0.8118 1.7495 0.3702
H 1.1933 4.2919 2.5122
H 1.4224 4.1691 0.4099
H 1.5533 2.6595 4.1601
```

Properties
D(E_F)   7.3 states/eV/cell
DFT total energy   -81.97 eV for the cell shown
SG   P2_1/c (14)

---

# 4
The following is a PBE calculation of an optimized crystal structure of Li2Cd2As, from the Alexandria database. Values from VASP.

Cell and atoms, written as Quantum ESPRESSO input:
```
&SYSTEM
  ibrav = 0, nat = 10, ntyp = 3
/
ATOMIC_SPECIES
As 74.92 As.upf
Li 6.94 Li.upf
Cd 112.41 Cd.upf
CELL_PARAMETERS angstrom
-6.5677 4.0271 1.0355
-1.1327 -3.5954 6.7982
1.6466 2.3018 1.4917
ATOMIC_POSITIONS angstrom
As 0.0000 0.0000 0.0000
As -3.8502 0.2158 3.9169
Li -1.0085 -0.5758 5.4323
Li -4.4864 0.8217 7.1148
Li -5.0454 3.3093 3.8931
Li -1.5674 1.9118 2.2106
Cd -3.3859 -1.6396 6.2675
Cd -6.4066 1.2092 5.2059
Cd -4.3145 2.0713 1.5662
Cd -1.2938 -0.7775 2.6278
```

Properties
D(E_F)   2.6 states/eV/cell
SG   P4/mbm (127)
E_form   -131 meV per atom
E above lowest polymorph   73 meV/atom

---

# 5
The following is a PBE calculation of an optimized crystal structure of MgNiMoH2, from the Alexandria database. Values from VASP.

Cell and atoms, written as Quantum ESPRESSO input:
```
&SYSTEM
  ibrav = 0, nat = 5, ntyp = 4
/
ATOMIC_SPECIES
Ni 58.69 Ni.upf
Mo 95.94 Mo.upf
Mg 24.30 Mg.upf
H 1.01 H.upf
CELL_PARAMETERS angstrom
-3.4595 -0.8932 -1.0278
1.5201 -4.0370 -1.6082
-0.5893 -1.5479 3.3285
ATOMIC_POSITIONS angstrom
Ni 0.0000 0.0000 0.0000
Mo 0.7601 -2.0185 -0.8041
Mg -1.2643 -3.2390 0.3462
H -0.2946 -0.7739 1.6643
H -1.7298 -0.4466 -0.5139
```

Properties
D(E_F)   4.0 states/eV/cell
DFT total energy   -20.32 eV for the cell shown
SG   P4/mmm (123)

---

# 6
The following is a PBE calculation of an optimized crystal structure of Mg3PaIn4, from the Alexandria database. Values from VASP.

Cell and atoms, written as Quantum ESPRESSO input:
```
&SYSTEM
  ibrav = 0, nat = 8, ntyp = 3
/
ATOMIC_SPECIES
Mg 24.30 Mg.upf
Pa 231.04 Pa.upf
In 114.82 In.upf
CELL_PARAMETERS angstrom
-3.5895 2.3763 -1.2449
0.9810 -0.8274 -4.4082
-5.2182 -7.7308 0.2897
ATOMIC_POSITIONS angstrom
Mg -3.1475 -0.8159 -0.5473
Mg -3.9134 -3.0910 -2.6817
Mg -5.6603 -4.5386 -0.4078
Pa -1.3043 0.7744 -2.8265
In -2.6091 -3.8654 0.1449
In -3.3941 -6.1688 -1.9884
In 0.0000 0.0000 0.0000
In -0.8431 -2.3894 -2.1301
```

Properties
D(E_F)   7.6 states/eV/cell
SG   Pmmm (47)
E_form   -51 meV per atom

---

# 7
The following is a PBE calculation of an optimized crystal structure of ZnSiRh2, from the Alexandria database. Values from VASP.

Cell and atoms, written as Quantum ESPRESSO input:
```
&SYSTEM
  ibrav = 0, nat = 4, ntyp = 3
/
ATOMIC_SPECIES
Rh 102.91 Rh.upf
Si 28.09 Si.upf
Zn 65.41 Zn.upf
CELL_PARAMETERS angstrom
2.7592 -0.1164 0.0000
-1.1837 2.4952 0.0000
0.0000 0.0000 8.5763
ATOMIC_POSITIONS angstrom
Rh 0.0000 0.0000 8.5179
Rh 0.7878 1.1894 2.3114
Si 0.0000 0.0000 4.1842
Zn 0.7878 1.1894 6.4272
```

Properties
D(E_F)   3.9 states/eV/cell
SG   Cmm2 (35)
E above lowest polymorph   669 meV/atom
Formation energy without anion corrections   -0.030 eV per formula unit

---

# 8
The following is a PBE calculation of an optimized crystal structure of AcSm6Tm, from the Alexandria database. Values from VASP.

Cell and atoms, written as Quantum ESPRESSO input:
```
&SYSTEM
  ibrav = 0, nat = 8, ntyp = 3
/
ATOMIC_SPECIES
Ac 227.00 Ac.upf
Sm 150.36 Sm.upf
Tm 168.93 Tm.upf
CELL_PARAMETERS angstrom
5.4148 0.9744 -3.4685
-0.9132 6.4385 0.1045
-2.5329 0.0409 9.5621
ATOMIC_POSITIONS angstrom
Ac 0.0000 0.0000 0.0000
Sm 1.2618 3.5838 1.3658
Sm 2.8863 6.2589 0.1519
Sm -0.9177 1.1949 6.0463
Sm 0.7068 3.8699 4.8324
Sm 3.7518 3.0881 -1.0360
Sm -1.7831 4.3657 7.2342
Tm 1.4409 0.5076 3.0468
```

Properties
D(E_F)   13.4 states/eV/cell
SG   C2/m (12)
E_form   145 meV per atom
E above lowest polymorph   109 meV/atom